## SrAcGaAg (GGA-PBE)

Data for an optimized crystal structure of SrAcGaAg.

The structure belongs to space group Amm2 (No. 38); the cell edges are 4.930, 4.196 and 12.216 Å and the angles 90.00°, 90.00° and 90.00°. The distinct sites, in fractional coordinates, are Sr at (0.000, 0.000, 0.000), Ac at (0.500, 0.000, 0.282), Ga at (0.000, 0.000, 0.716) and Ag at (0.500, 0.000, 0.575).

For the energy above the most stable polymorph in this dataset, the calculation gives 0.005 eV per atom. The calculation puts the energy of formation from the pure elements at -0.34 eV per atom. The crystal system is orthorhombic.

---

## MgSc2Ru (GGA-PBE)

Data for an optimized crystal structure of MgSc2Ru.

The structure belongs to space group P4/mmm (No. 123); the cell edges are 4.655, 4.655 and 3.484 Å and the angles 90.00°, 90.00° and 90.00°. The distinct sites, in fractional coordinates, are Mg at (0.000, 0.000, 0.000), Sc at (0.000, 0.500, 0.500) and Ru at (0.500, 0.500, 0.000).

The calculation puts the energy of formation from the pure elements at -0.25 eV per atom. The crystal system is tetragonal.

---

## ScCu2H6Ru (GGA-PBE)

Data for an optimized crystal structure of ScCu2H6Ru.

The structure belongs to space group P1 (No. 1); the cell edges are 4.477, 4.622 and 4.634 Å and the angles 68.20°, 88.48° and 66.76°. The distinct sites, in fractional coordinates, are Sc at (0.000, 0.000, 0.000), Cu at (0.231, 0.480, 0.648), Cu at (0.735, 0.456, 0.342), H at (0.227, 0.166, 0.517), H at (0.398, 0.751, 0.418), H at (0.439, 0.564, 0.963), H at (0.501, 0.051, 0.946), H at (0.806, 0.036, 0.434), H at (0.975, 0.509, 0.967) and Ru at (0.602, 0.825, 0.714).

As for the total DFT energy (no corrections): -45.4 eV for the cell shown. The crystal system is triclinic.

---

## Pm3ZnAs2Rh9 (GGA-PBE)

Data for an optimized crystal structure of Pm3ZnAs2Rh9.

The structure belongs to space group P-3m1 (No. 164); the cell edges are 6.2395, 6.2395 and 9.0313 Å and the angles 90.00°, 90.00° and 120.00°. The distinct sites, in fractional coordinates, are Pm at (0.0000, 0.0000, 0.0000), Pm at (0.3333, 0.6667, 0.6982), Zn at (0.0000, 0.0000, 0.5000), As at (0.3333, 0.6667, 0.1733), Rh at (0.0000, 0.5000, 0.0000) and Rh at (0.1428, 0.2856, 0.2807).

The calculation puts the energy of formation from the pure elements at -0.35 eV per atom. The crystal system is trigonal.

---

Let's list total magnetization in order: 0.0; 0.0; 0.0; 0.0 μB per formula unit.
Let's list calculated volume in order: 253; 75; 81; 304 Å³/cell.